! Tc2RuRh, relaxed, DFT PBE; values from VASP
&SYSTEM
  ibrav = 0, nat = 16, ntyp = 3
/
ATOMIC_SPECIES
Tc 98.00 Tc.upf
Ru 101.07 Ru.upf
Rh 102.91 Rh.upf
CELL_PARAMETERS angstrom
-1.3436 -2.3256 -5.8530
5.2186 1.0449 -1.6132
-3.4394 -6.9099 3.5351
ATOMIC_POSITIONS crystal
Tc 0.0005 0.0408 0.7957
Tc 0.9995 0.9592 0.2043
Tc 0.5005 0.4592 0.7043
Tc 0.4995 0.5408 0.2957
Tc 0.2989 0.5004 0.0001
Tc 0.7011 0.4996 0.9999
Tc 0.7989 0.9996 0.4999
Tc 0.2011 0.0004 0.5001
Ru 0.7996 0.5005 0.5000
Ru 0.2004 0.4995 0.5000
Ru 0.2996 0.9995 0.0000
Ru 0.7004 0.0005 0.0000
Rh 0.0004 0.4497 0.2019
Rh 0.9996 0.5503 0.7981
Rh 0.5004 0.0503 0.2981
Rh 0.4996 0.9497 0.7019
! excess energy over the best structure of this formula in the dataset	148	meV/atom
! total moment	0.00	μB/f.u.
! uncorrected energy	-9.32	eV per atom
! symmetry	P2_1/c, No. 14
! theoretical density	11.549	g cm⁻³